[1]
Here is an optimized crystal structure of Li2PaCdTe4 from Alexandria via LeMat-Bulk. Energies are from PBE.

extended XYZ file:
```
8
Lattice="4.2951 0.0000 0.0000 0.0000 7.5153 0.1225 0.0000 -2.6289 6.9976" Properties=species:S:1:pos:R:3 pbc="T T T"
Te 2.1476 3.6761 5.3615
Te 0.0000 4.9242 1.9454
Te 0.0000 -0.0378 5.1747
Te 2.1476 1.2103 1.7586
Li 2.1476 -1.3144 3.4988
Li 0.0000 2.4432 3.5601
Pa 2.1476 3.7576 0.0613
Cd 0.0000 0.0000 0.0000
```

E_tot: -4.091 eV/atom
size of the total moment: 0.9 μB per formula unit
symmetry: P2/m (10)
formation energy without anion corrections: -572 kJ/mol of formula units

***

[2]
Here is an optimized crystal structure of MgSc2Fe from Alexandria via LeMat-Bulk. Energies are from PBE.

extended XYZ file:
```
4
Lattice="4.7416 0.0000 0.0000 2.3708 4.1063 0.0000 2.3708 1.3688 3.8715" Properties=species:S:1:pos:R:3 pbc="T T T"
Mg 2.3708 1.3688 0.9679
Fe 4.7416 2.7376 1.9357
Sc 0.0000 0.0000 0.0000
Sc 7.1124 4.1063 2.9036
```

E_tot: -5.487 eV/atom
formation energy from the elements: 0.1928 eV/atom
size of the total moment: 1.4 μB per formula unit
symmetry: F-43m (216)

***

[3]
Here is an optimized crystal structure of LaHgP4 from Alexandria via LeMat-Bulk. Energies are from PBE.

extended XYZ file:
```
6
Lattice="-1.1262 -5.2118 -1.4612 -2.3978 -3.4278 3.6149 -5.2416 -1.5881 -0.7549" Properties=species:S:1:pos:R:3 pbc="T T T"
P -3.4283 -4.0001 0.5471
P -3.9188 -6.2703 -0.0894
P -4.4727 -5.4932 2.1217
P -5.7115 -4.6919 0.2182
Hg -6.5742 -7.6708 1.0491
La 0.0000 0.0000 0.0000
```

E_tot: -4.637 eV/atom
formation energy from the elements: -0.1592 eV/atom
size of the total moment: 0.0 μB per formula unit
symmetry: F-43m (216)

***

[4]
Here is an optimized crystal structure of P2IrSF from Alexandria via LeMat-Bulk. Energies are from PBE.

extended XYZ file:
```
5
Lattice="-4.0228 1.0039 1.8354 1.2134 -2.1208 3.8196 1.8421 4.1940 1.7434" Properties=species:S:1:pos:R:3 pbc="T T T"
F -0.4837 1.5386 3.6992
P -2.0114 0.5020 0.9177
P 0.6067 -1.0604 1.9098
Ir 0.0000 0.0000 0.0000
S 0.9210 2.0970 0.8717
```

E_tot: -4.604 eV/atom
size of the total moment: 1.7 μB per formula unit
symmetry: P4/mmm (123)
formation energy without anion corrections: 257 kJ/mol of formula units

***

What did the first record say?
Here is an optimized crystal structure of Li2PaCdTe4 from Alexandria via LeMat-Bulk. Energies are from PBE.

extended XYZ file:
```
8
Lattice="4.2951 0.0000 0.0000 0.0000 7.5153 0.1225 0.0000 -2.6289 6.9976" Properties=species:S:1:pos:R:3 pbc="T T T"
Te 2.1476 3.6761 5.3615
Te 0.0000 4.9242 1.9454
Te 0.0000 -0.0378 5.1747
Te 2.1476 1.2103 1.7586
Li 2.1476 -1.3144 3.4988
Li 0.0000 2.4432 3.5601
Pa 2.1476 3.7576 0.0613
Cd 0.0000 0.0000 0.0000
```

E_tot: -4.091 eV/atom
size of the total moment: 0.9 μB per formula unit
symmetry: P2/m (10)
formation energy without anion corrections: -572 kJ/mol of formula units

***

Please write out number 4 again, unchanged.
Here is an optimized crystal structure of P2IrSF from Alexandria via LeMat-Bulk. Energies are from PBE.

extended XYZ file:
```
5
Lattice="-4.0228 1.0039 1.8354 1.2134 -2.1208 3.8196 1.8421 4.1940 1.7434" Properties=species:S:1:pos:R:3 pbc="T T T"
F -0.4837 1.5386 3.6992
P -2.0114 0.5020 0.9177
P 0.6067 -1.0604 1.9098
Ir 0.0000 0.0000 0.0000
S 0.9210 2.0970 0.8717
```

E_tot: -4.604 eV/atom
size of the total moment: 1.7 μB per formula unit
symmetry: P4/mmm (123)
formation energy without anion corrections: 257 kJ/mol of formula units